KPaRu2O8 | GGA-PBE | relaxed

Summary:
Electronic total energy   -7.36 eV per atom

```
KPaRu2O8
1.0
5.898 0.000 0.000
-2.949 5.108 0.000
0.000 0.000 7.684
Ru O Pa K
2 8 1 1
direct
0.667 0.333 0.225 Ru
0.333 0.667 0.775 Ru
0.667 0.333 0.999 O
0.829 0.165 0.328 O
0.333 0.667 0.001 O
0.336 0.171 0.328 O
0.171 0.835 0.672 O
0.664 0.829 0.672 O
0.835 0.664 0.328 O
0.165 0.336 0.672 O
0.000 0.000 0.500 Pa
0.000 0.000 0.000 K
```